# TiMnAl2Rh | Alexandria | PBE | optimized geometry
data_TiMnAl2Rh
_symmetry_space_group_name_H-M 'P 4/m m m'
_symmetry_Int_Tables_number 123
_symmetry_space_group_name_Hall '-P 4 2'
_cell_length_a 4.501
_cell_length_b 4.501
_cell_length_c 4.123
_cell_angle_alpha 90.00
_cell_angle_beta 90.00
_cell_angle_gamma 90.00
loop_
_atom_site_label
_atom_site_fract_x
_atom_site_fract_y
_atom_site_fract_z
_atom_site_occupancy
Ti1 0.000 0.000 0.000 1
Mn1 0.000 0.000 0.500 1
Al1 0.000 0.500 0.500 1
Rh1 0.500 0.500 0.000 1
# Uncorrected energy   -30.8 eV for the cell shown
# Energy of formation from the pure elements   0.2244 eV per atom